Record 1
# K2TcSe, relaxed, DFT GGA-PBE
data_K2TcSe
_cell_length_a 3.1442
_cell_length_b 3.1442
_cell_length_c 33.5781
_cell_angle_alpha 90.00
_cell_angle_beta 90.00
_cell_angle_gamma 120.00
_symmetry_space_group_name_H-M 'R -3 m'
_symmetry_Int_Tables_number 166
_symmetry_space_group_name_Hall '-R 3 2"'
loop_
_atom_site_label
_atom_site_fract_x
_atom_site_fract_y
_atom_site_fract_z
K1 0.0000 0.0000 0.2459
Tc1 0.0000 0.0000 0.0000
Se1 0.0000 0.0000 0.5000
# - Uncorrected energy: -3.25 eV/atom
# - Raw formation energy: 0.76 eV/atom

Record 2
# La6Nd5Mg, relaxed, DFT GGA-PBE
data_La6Nd5Mg
_cell_length_a 5.2227
_cell_length_b 10.3551
_cell_length_c 15.6624
_cell_angle_alpha 90.00
_cell_angle_beta 90.00
_cell_angle_gamma 90.00
_symmetry_space_group_name_H-M 'I m m m'
_symmetry_Int_Tables_number 71
_symmetry_space_group_name_Hall '-I 2 2'
loop_
_atom_site_label
_atom_site_fract_x
_atom_site_fract_y
_atom_site_fract_z
La1 0.0000 0.2460 0.1652
La2 0.0000 0.2528 0.5000
Nd1 0.0000 0.0000 0.3347
Nd2 0.0000 0.5000 0.0000
Nd3 0.0000 0.5000 0.3301
Mg1 0.0000 0.0000 0.0000
# - Uncorrected energy: -4.58 eV/atom
# - Energy of formation: 0.65 kJ per mole of atoms

Record 3
# KMgP2, relaxed, DFT GGA-PBE
data_KMgP2
_cell_length_a 3.3242
_cell_length_b 4.4910
_cell_length_c 13.1379
_cell_angle_alpha 90.00
_cell_angle_beta 90.00
_cell_angle_gamma 90.00
_symmetry_space_group_name_H-M 'I m m 2'
_symmetry_Int_Tables_number 44
loop_
_symmetry_equiv_pos_as_xyz
'x,y,z'
'-x,-y,z'
'-x,y,z'
'x,-y,z'
'x+1/2,y+1/2,z+1/2'
'-x+1/2,-y+1/2,z+1/2'
'-x+1/2,y+1/2,z+1/2'
'x+1/2,-y+1/2,z+1/2'
loop_
_atom_site_label
_atom_site_fract_x
_atom_site_fract_y
_atom_site_fract_z
K1 0.0000 0.0000 0.0000
Mg1 0.0000 0.5000 0.7575
P1 0.0000 0.0000 0.6446
P2 0.0000 0.5000 0.2710
# - Uncorrected energy: -3.57 eV/atom
# - Energy of formation: -18.18 kJ per mole of atoms

Record 4
# TeMo2As, relaxed, DFT GGA-PBE
data_TeMo2As
_cell_length_a 5.8941
_cell_length_b 5.8941
_cell_length_c 11.9128
_cell_angle_alpha 90.00
_cell_angle_beta 90.00
_cell_angle_gamma 90.00
_symmetry_space_group_name_H-M 'I -4 2 d'
_symmetry_Int_Tables_number 122
_symmetry_space_group_name_Hall 'I -4 2bw'
loop_
_atom_site_label
_atom_site_fract_x
_atom_site_fract_y
_atom_site_fract_z
Te1 0.0000 0.0000 0.0000
Mo1 0.2177 0.2500 0.6250
As1 0.0000 0.0000 0.5000
# - Uncorrected energy: -6.63 eV/atom
# - Relative energy among the computed polymorphs: 260 kJ/mol of formula units
# - Raw formation energy: 0.73 eV/atom